# 1
CaLaSc2 | PBE-GGA | optimized geometry

Calculated values
Its symmetry is Cmmm. The value obtained for the energy above the most stable polymorph in this dataset is 60 meV per atom. For the formation energy, the calculation gives 171 meV per atom. The value obtained for the density of states at the Fermi level is 12.01 states/eV per cell.

```
8
Lattice="7.102 0.000 0.000 0.000 9.715 0.000 0.000 0.000 3.551" Properties=species:S:1:pos:R:3 pbc="T T T"
Ca 0.000 0.000 0.000
Ca 3.551 4.857 0.000
La 0.000 4.857 0.000
La 3.551 0.000 0.000
Sc 1.775 2.429 1.775
Sc 1.775 7.286 1.775
Sc 5.326 2.429 1.775
Sc 5.326 7.286 1.775
```



# 2
TlCdSbPb | PBE-GGA | optimized geometry

Calculated values
Its symmetry is Pmm2. As for the uncorrected formation energy: 0.173 eV per formula unit. The value obtained for the energy above the most stable polymorph in this dataset is 0 meV per atom. The value obtained for the density of states at the Fermi level is 1.86 states/eV per cell.

```
4
Lattice="3.660 0.000 0.000 0.000 4.213 0.000 0.000 0.000 7.646" Properties=species:S:1:pos:R:3 pbc="T T T"
Tl 0.000 0.000 0.000
Cd 0.000 0.000 3.543
Sb 1.830 2.106 2.067
Pb 1.830 2.106 5.278
```



# 3
Ba3Sb2H3 | PBE-GGA | optimized geometry

Calculated values
Its symmetry is P-62m. The value obtained for the density of states at the Fermi level is 6.24 states/eV per cell.

```
8
Lattice="8.670 0.000 0.000 -4.335 7.508 0.000 0.000 0.000 3.508" Properties=species:S:1:pos:R:3 pbc="T T T"
Ba -3.167 5.486 0.000
Ba 1.168 2.023 0.000
Ba 6.335 0.000 0.000
Sb 0.000 5.006 1.754
Sb 4.335 2.503 1.754
H -0.772 1.337 1.754
H 1.544 0.000 1.754
H 3.563 6.171 1.754
```



The records above give, respectively, total magnetic moment values of 0.0 0.0 0.0 μB per formula unit.
The records above give, respectively, density values of 3.65 9.10 4.79 g/cm³.
The records above give, respectively, energy values of -0.1737 -0.1005 -0.1233 Ha/atom.